(i)
An optimized crystal structure of Tl4Hg7Bi. Source: Alexandria, functional PBE-GGA.

```
data_Tl4Hg7Bi
_symmetry_space_group_name_H-M 'C 1 2/m 1'
_symmetry_Int_Tables_number 12
_cell_length_a 15.0521
_cell_length_b 6.0662
_cell_length_c 9.9948
_cell_angle_alpha 90.00
_cell_angle_beta 126.37
_cell_angle_gamma 90.00
loop_
_symmetry_equiv_pos_as_xyz
'x,y,z'
'-x,-y,-z'
'-x,y,-z'
'x,-y,z'
'x+1/2,y+1/2,z'
'-x+1/2,-y+1/2,-z'
'-x+1/2,y+1/2,-z'
'x+1/2,-y+1/2,z'
loop_
_atom_site_label
_atom_site_fract_x
_atom_site_fract_y
_atom_site_fract_z
Tl1 0.0077 0.0000 0.1855
Tl2 0.2348 0.5000 0.2219
Hg1 0.0000 0.0000 0.5000
Hg2 0.0091 0.5000 0.8381
Hg3 0.2320 0.5000 0.5470
Hg4 0.2436 0.5000 0.8924
Bi1 0.0000 0.5000 0.5000
```

Computed properties:
DOS at the Fermi energy: 0.403 states/eV per atom
Total moment: 0.00 Bohr magnetons per cell

(ii)
An optimized crystal structure of Tl4Hg7Bi. Source: Alexandria, functional PBE-GGA.

```
data_Tl4Hg7Bi
_symmetry_space_group_name_H-M 'P -3 m 1'
_symmetry_Int_Tables_number 164
_symmetry_space_group_name_Hall '-P 3 2"'
_cell_length_a 5.4397
_cell_length_b 5.4397
_cell_length_c 13.4008
_cell_angle_alpha 90.00
_cell_angle_beta 90.00
_cell_angle_gamma 120.00
loop_
_atom_site_label
_atom_site_fract_x
_atom_site_fract_y
_atom_site_fract_z
Tl1 0.3333 0.6667 0.1568
Tl2 0.3333 0.6667 0.4186
Hg1 0.0000 0.0000 0.2532
Hg2 0.0000 0.0000 0.5000
Hg3 0.3333 0.6667 0.6801
Hg4 0.3333 0.6667 0.9171
Bi1 0.0000 0.0000 0.0000
```

Computed properties:
DOS at the Fermi energy: 0.329 states/eV per atom
Total moment: 0.00 Bohr magnetons per cell

Least stable of them? (i).

(i)
An optimized crystal structure of Tl4Hg4Bi. Source: Alexandria, functional PBE-GGA.

```
data_Tl4Hg4Bi
_symmetry_space_group_name_H-M 'I 4/m'
_symmetry_Int_Tables_number 87
_symmetry_space_group_name_Hall '-I 4'
_cell_length_a 12.6783
_cell_length_b 12.6783
_cell_length_c 3.4156
_cell_angle_alpha 90.00
_cell_angle_beta 90.00
_cell_angle_gamma 90.00
loop_
_atom_site_label
_atom_site_fract_x
_atom_site_fract_y
_atom_site_fract_z
Tl1 0.1444 0.8179 0.0000
Hg1 0.0377 0.3450 0.5000
Bi1 0.0000 0.0000 0.5000
```

Computed properties:
DOS at the Fermi energy: 0.223 states/eV per atom
Total moment: 0.00 Bohr magnetons per cell

(ii)
An optimized crystal structure of Tl4Hg4Bi. Source: Alexandria, functional PBE-GGA.

```
data_Tl4Hg4Bi
_symmetry_space_group_name_H-M 'I -4 2 m'
_symmetry_Int_Tables_number 121
_symmetry_space_group_name_Hall 'I -4 2'
_cell_length_a 7.3609
_cell_length_b 7.3609
_cell_length_c 11.1897
_cell_angle_alpha 90.00
_cell_angle_beta 90.00
_cell_angle_gamma 90.00
loop_
_atom_site_label
_atom_site_fract_x
_atom_site_fract_y
_atom_site_fract_z
Tl1 0.0000 0.0000 0.1362
Tl2 0.0000 0.5000 0.0000
Hg1 0.2180 0.2180 0.6921
Bi1 0.0000 0.0000 0.5000
```

Computed properties:
DOS at the Fermi energy: 0.363 states/eV per atom
Total moment: 0.00 Bohr magnetons per cell

Least stable of them? (ii).

(i)
An optimized crystal structure of Tl3HgBi. Source: Alexandria, functional PBE-GGA.

```
data_Tl3HgBi
_symmetry_space_group_name_H-M 'P 1 21/m 1'
_symmetry_Int_Tables_number 11
_cell_length_a 5.7614
_cell_length_b 7.1591
_cell_length_c 7.9671
_cell_angle_alpha 90.00
_cell_angle_beta 99.48
_cell_angle_gamma 90.00
loop_
_symmetry_equiv_pos_as_xyz
'x,y,z'
'-x,-y,-z'
'-x,y+1/2,-z'
'x,-y+1/2,z'
loop_
_atom_site_label
_atom_site_fract_x
_atom_site_fract_y
_atom_site_fract_z
Tl1 0.1508 0.0149 0.2323
Tl2 0.2771 0.2500 0.6447
Hg1 0.4238 0.7500 0.9832
Bi1 0.3068 0.7500 0.5903
```

Computed properties:
DOS at the Fermi energy: 0.303 states/eV per atom
Total moment: 0.00 Bohr magnetons per cell

(ii)
An optimized crystal structure of Tl3HgBi. Source: Alexandria, functional PBE-GGA.

```
data_Tl3HgBi
_symmetry_space_group_name_H-M 'C 1 2/m 1'
_symmetry_Int_Tables_number 12
_cell_length_a 11.1311
_cell_length_b 10.2586
_cell_length_c 6.4334
_cell_angle_alpha 90.00
_cell_angle_beta 110.10
_cell_angle_gamma 90.00
loop_
_symmetry_equiv_pos_as_xyz
'x,y,z'
'-x,-y,-z'
'-x,y,-z'
'x,-y,z'
'x+1/2,y+1/2,z'
'-x+1/2,-y+1/2,-z'
'-x+1/2,y+1/2,-z'
'x+1/2,-y+1/2,z'
loop_
_atom_site_label
_atom_site_fract_x
_atom_site_fract_y
_atom_site_fract_z
Tl1 0.0863 0.0000 0.3201
Tl2 0.1618 0.2802 0.6705
Hg1 0.0518 0.5000 0.2723
Bi1 0.2303 0.0000 0.9383
```

Computed properties:
DOS at the Fermi energy: 0.480 states/eV per atom
Total moment: 0.00 Bohr magnetons per cell

Least stable of them? (ii).

(i)
An optimized crystal structure of Tl7Hg2Bi. Source: Alexandria, functional PBE-GGA.

```
data_Tl7Hg2Bi
_symmetry_space_group_name_H-M 'P 3 m 1'
_symmetry_Int_Tables_number 156
_cell_length_a 5.4044
_cell_length_b 5.4044
_cell_length_c 13.1908
_cell_angle_alpha 90.00
_cell_angle_beta 90.00
_cell_angle_gamma 120.00
loop_
_symmetry_equiv_pos_as_xyz
'x,y,z'
'-y,x-y,z'
'-x+y,-x,z'
'-y,-x,z'
'-x+y,y,z'
'x,x-y,z'
loop_
_atom_site_label
_atom_site_fract_x
_atom_site_fract_y
_atom_site_fract_z
Tl1 0.0000 0.0000 0.0000
Tl2 0.0000 0.0000 0.2604
Tl3 0.0000 0.0000 0.5261
Tl4 0.3333 0.6667 0.1442
Tl5 0.3333 0.6667 0.6760
Tl6 0.6667 0.3333 0.3279
Tl7 0.6667 0.3333 0.8174
Hg1 0.0000 0.0000 0.7670
Hg2 0.6667 0.3333 0.0600
Bi1 0.3333 0.6667 0.4213
```

Computed properties:
DOS at the Fermi energy: 0.401 states/eV per atom
Total moment: 0.00 Bohr magnetons per cell

(ii)
An optimized crystal structure of Tl7Hg2Bi. Source: Alexandria, functional PBE-GGA.

```
data_Tl7Hg2Bi
_symmetry_space_group_name_H-M 'C 1 2/c 1'
_symmetry_Int_Tables_number 15
_cell_length_a 16.2170
_cell_length_b 8.4787
_cell_length_c 12.0974
_cell_angle_alpha 90.00
_cell_angle_beta 132.08
_cell_angle_gamma 90.00
loop_
_symmetry_equiv_pos_as_xyz
'x,y,z'
'-x,-y,-z'
'-x,y,-z+1/2'
'x,-y,z+1/2'
'x+1/2,y+1/2,z'
'-x+1/2,-y+1/2,-z'
'-x+1/2,y+1/2,-z+1/2'
'x+1/2,-y+1/2,z+1/2'
loop_
_atom_site_label
_atom_site_fract_x
_atom_site_fract_y
_atom_site_fract_z
Tl1 0.0000 0.0391 0.2500
Tl2 0.0742 0.3319 0.5432
Tl3 0.1783 0.3516 0.3371
Tl4 0.2478 0.1220 0.8920
Hg1 0.1250 0.0779 0.0876
Bi1 0.0000 0.3557 0.7500
```

Computed properties:
DOS at the Fermi energy: 0.380 states/eV per atom
Total moment: 0.00 Bohr magnetons per cell

Least stable of them? (i).

(i)
An optimized crystal structure of TmHgBi2. Source: Alexandria, functional PBE-GGA.

```
data_TmHgBi2
_symmetry_space_group_name_H-M 'R 3 m'
_symmetry_Int_Tables_number 160
_symmetry_space_group_name_Hall 'R 3 -2"'
_cell_length_a 4.8067
_cell_length_b 4.8067
_cell_length_c 19.4430
_cell_angle_alpha 90.00
_cell_angle_beta 90.00
_cell_angle_gamma 120.00
loop_
_atom_site_label
_atom_site_fract_x
_atom_site_fract_y
_atom_site_fract_z
Tm1 0.0000 0.0000 0.0000
Hg1 0.0000 0.0000 0.8347
Bi1 0.0000 0.0000 0.4102
Bi2 0.0000 0.0000 0.5903
```

Computed properties:
DOS at the Fermi energy: 0.646 states/eV per atom
Total moment: 0.00 Bohr magnetons per cell

(ii)
An optimized crystal structure of TmHgBi2. Source: Alexandria, functional PBE-GGA.

```
data_TmHgBi2
_symmetry_space_group_name_H-M 'P 4/m m m'
_symmetry_Int_Tables_number 123
_symmetry_space_group_name_Hall '-P 4 2'
_cell_length_a 4.9084
_cell_length_b 4.9084
_cell_length_c 4.6024
_cell_angle_alpha 90.00
_cell_angle_beta 90.00
_cell_angle_gamma 90.00
loop_
_atom_site_label
_atom_site_fract_x
_atom_site_fract_y
_atom_site_fract_z
Tm1 0.0000 0.0000 0.0000
Hg1 0.5000 0.5000 0.0000
Bi1 0.0000 0.5000 0.5000
```

Computed properties:
DOS at the Fermi energy: 0.606 states/eV per atom
Total moment: 0.00 Bohr magnetons per cell

(iii)
An optimized crystal structure of TmHgBi2. Source: Alexandria, functional PBE-GGA.

```
data_TmHgBi2
_symmetry_space_group_name_H-M 'R -3 m'
_symmetry_Int_Tables_number 166
_symmetry_space_group_name_Hall '-R 3 2"'
_cell_length_a 4.5280
_cell_length_b 4.5280
_cell_length_c 27.2192
_cell_angle_alpha 90.00
_cell_angle_beta 90.00
_cell_angle_gamma 120.00
loop_
_atom_site_label
_atom_site_fract_x
_atom_site_fract_y
_atom_site_fract_z
Tm1 0.0000 0.0000 0.0000
Hg1 0.0000 0.0000 0.5000
Bi1 0.0000 0.0000 0.3960
```

Computed properties:
DOS at the Fermi energy: 0.453 states/eV per atom
Total moment: 0.00 Bohr magnetons per cell

(iv)
An optimized crystal structure of TmHgBi2. Source: Alexandria, functional PBE-GGA.

```
data_TmHgBi2
_symmetry_space_group_name_H-M 'P 4/m m m'
_symmetry_Int_Tables_number 123
_symmetry_space_group_name_Hall '-P 4 2'
_cell_length_a 4.2103
_cell_length_b 4.2103
_cell_length_c 6.5719
_cell_angle_alpha 90.00
_cell_angle_beta 90.00
_cell_angle_gamma 90.00
loop_
_atom_site_label
_atom_site_fract_x
_atom_site_fract_y
_atom_site_fract_z
Tm1 0.0000 0.0000 0.0000
Hg1 0.0000 0.0000 0.5000
Bi1 0.5000 0.5000 0.2328
```

Computed properties:
DOS at the Fermi energy: 0.744 states/eV per atom
Total moment: 0.00 Bohr magnetons per cell

Least stable of them? (iii).

(i)
An optimized crystal structure of UHgBi. Source: Alexandria, functional PBE-GGA.

```
data_UHgBi
_symmetry_space_group_name_H-M 'I 4 m m'
_symmetry_Int_Tables_number 107
_symmetry_space_group_name_Hall 'I 4 -2'
_cell_length_a 3.8754
_cell_length_b 3.8754
_cell_length_c 10.9171
_cell_angle_alpha 90.00
_cell_angle_beta 90.00
_cell_angle_gamma 90.00
loop_
_atom_site_label
_atom_site_fract_x
_atom_site_fract_y
_atom_site_fract_z
U1 0.0000 0.0000 0.0000
Hg1 0.0000 0.0000 0.6606
Bi1 0.0000 0.0000 0.3218
```

Computed properties:
DOS at the Fermi energy: 2.231 states/eV per atom
Total moment: 6.74 Bohr magnetons per cell

(ii)
An optimized crystal structure of UHgBi. Source: Alexandria, functional PBE-GGA.

```
data_UHgBi
_symmetry_space_group_name_H-M 'P 3 m 1'
_symmetry_Int_Tables_number 156
_cell_length_a 5.3928
_cell_length_b 5.3928
_cell_length_c 3.2160
_cell_angle_alpha 90.00
_cell_angle_beta 90.00
_cell_angle_gamma 120.00
loop_
_symmetry_equiv_pos_as_xyz
'x,y,z'
'-y,x-y,z'
'-x+y,-x,z'
'-y,-x,z'
'-x+y,y,z'
'x,x-y,z'
loop_
_atom_site_label
_atom_site_fract_x
_atom_site_fract_y
_atom_site_fract_z
U1 0.0000 0.0000 0.0000
Hg1 0.6667 0.3333 0.3509
Bi1 0.3333 0.6667 0.5535
```

Computed properties:
DOS at the Fermi energy: 1.308 states/eV per atom
Total moment: 3.39 Bohr magnetons per cell

Least stable of them? (i).